Entry 1:
Here is TbSmGaCo after structural relaxation from Alexandria via LeMat-Bulk. Energies are from PBE-GGA.

- Raw total energy: -5.22 eV/atom
- Calculated volume: 90 Å³ per cell
- Formation energy from the elements: -0.346 eV per atom
- Total moment: 0.00 μB per atom

Cell: 4.2336 5.6812 5.6812 Å, 41.40 90.00 90.00°
Fractional positions:
Tb  0.0000  0.0000  0.0000
Sm  0.5000  0.2826  0.2826
Ga  0.0000  0.7028  0.7028
Co  0.5000  0.5762  0.5762

---

Entry 2:
Here is SmYGaCo after structural relaxation from Alexandria via LeMat-Bulk. Energies are from PBE-GGA.

- Raw total energy: -5.61 eV/atom
- Calculated volume: 88 Å³ per cell
- Formation energy from the elements: -0.284 eV per atom
- Total moment: 0.27 μB per atom

Cell: 4.9901 4.9901 4.9901 Å, 60.00 60.00 60.00°
Fractional positions:
Sm  0.0000  0.0000  0.0000
Y  0.5000  0.5000  0.5000
Ga  0.7500  0.7500  0.7500
Co  0.2500  0.2500  0.2500

---

Entry 3:
Here is SmYGaCo after structural relaxation from Alexandria via LeMat-Bulk. Energies are from PBE-GGA.

- Raw total energy: -5.68 eV/atom
- Calculated volume: 90 Å³ per cell
- Formation energy from the elements: -0.353 eV per atom
- Total moment: 0.00 μB per atom

Cell: 4.2520 5.6516 5.6516 Å, 41.63 90.00 90.00°
Fractional positions:
Sm  0.0000  0.0000  0.0000
Y  0.5000  0.2835  0.2835
Ga  0.5000  0.5805  0.5805
Co  0.0000  0.7067  0.7067